Compound: Mo2AsF
Source: the Alexandria database
Functional: GGA+U
Structure: relaxed

a b c (Å): 6.7528 6.7528 7.0506
angles (deg): 90.00 90.00 90.00
Space group I-42d (No. 122)
One atom of each set of equivalent atoms:
Mo (0.2243, 0.2500, 0.1250) (multiplicity 8)
As (0.0000, 0.0000, 0.5000) (multiplicity 4)
F (0.0000, 0.0000, 0.0000) (multiplicity 4)

Values from the calculation:
For the total DFT energy (no corrections), the calculation gives -83.50 eV per cell. As for the energy above the most stable polymorph in this dataset: 0.000 eV per atom. Its size of the total moment is 32.000 Bohr magnetons per cell.